{
  "formula": "Fe6SiMo",
  "functional": "PBEsol",
  "state": "optimized geometry",
  "dft_energy_ev_per_atom": -9.031,
  "volume_a3_per_atom": 11.145,
  "magnetic_moment_mub_per_cell": 36.88,
  "cell": [[2.882, -5.567, 0.000], [2.882, 5.567, 0.000], [0.000, 0.000, 11.115]],
  "species": ["Fe", "Fe", "Fe", "Fe", "Fe", "Fe", "Fe", "Fe", "Fe", "Fe", "Fe", "Fe", "Fe", "Fe", "Fe", "Fe", "Fe", "Fe", "Fe", "Fe", "Fe", "Fe", "Fe", "Fe", "Si", "Si", "Si", "Si", "Mo", "Mo", "Mo", "Mo"],
  "frac_coords": [[0.000, 0.000, 0.000], [0.000, 0.000, 0.500], [0.128, 0.383, 0.121], [0.128, 0.383, 0.879], [0.134, 0.380, 0.371], [0.134, 0.380, 0.629], [0.249, 0.751, 0.246], [0.249, 0.751, 0.754], [0.380, 0.134, 0.371], [0.380, 0.134, 0.629], [0.383, 0.128, 0.121], [0.383, 0.128, 0.879], [0.500, 0.500, 0.000], [0.500, 0.500, 0.500], [0.617, 0.872, 0.121], [0.617, 0.872, 0.879], [0.620, 0.866, 0.371], [0.620, 0.866, 0.629], [0.751, 0.249, 0.246], [0.751, 0.249, 0.754], [0.866, 0.620, 0.371], [0.866, 0.620, 0.629], [0.872, 0.617, 0.121], [0.872, 0.617, 0.879], [0.245, 0.755, 0.000], [0.500, 0.500, 0.241], [0.500, 0.500, 0.759], [0.755, 0.245, 0.000], [0.000, 0.000, 0.243], [0.000, 0.000, 0.757], [0.244, 0.756, 0.500], [0.756, 0.244, 0.500]]
}

***

{
  "formula": "TaFe2Mo",
  "functional": "PBEsol",
  "state": "optimized geometry",
  "volume_a3_per_atom": 13.839,
  "magnetic_moment_mub_per_cell": 3.02,
  "e_form_ev_per_atom": 0.3281,
  "cell": [[1.395, 0.805, 8.210], [-1.395, 0.805, 8.210], [0.000, -1.611, 8.210]],
  "species": ["Ta", "Fe", "Fe", "Mo"],
  "frac_coords": [[0.000, 0.000, 0.000], [0.248, 0.248, 0.248], [0.752, 0.752, 0.752], [0.500, 0.500, 0.500]]
}

***

{
  "formula": "TaFe2Mo",
  "functional": "PBEsol",
  "state": "optimized geometry",
  "volume_a3_per_atom": 13.634,
  "magnetic_moment_mub_per_cell": 3.09,
  "e_form_ev_per_atom": 0.0132,
  "cell": [[3.043, 0.000, 0.000], [0.000, 3.043, 0.000], [0.000, 0.000, 5.888]],
  "species": ["Ta", "Fe", "Fe", "Mo"],
  "frac_coords": [[0.000, 0.000, 0.000], [0.000, 0.000, 0.472], [0.500, 0.500, 0.238], [0.500, 0.500, 0.701]]
}

***

{
  "formula": "TaFe3Mo",
  "functional": "PBEsol",
  "state": "optimized geometry",
  "volume_a3_per_atom": 15.438,
  "magnetic_moment_mub_per_cell": 2.78,
  "e_form_ev_per_atom": 1.4392,
  "cell": [[4.258, 0.000, 0.000], [0.000, 4.258, 0.000], [0.000, 0.000, 4.258]],
  "species": ["Ta", "Fe", "Fe", "Fe", "Mo"],
  "frac_coords": [[0.000, 0.000, 0.000], [0.000, 0.500, 0.500], [0.500, 0.000, 0.500], [0.500, 0.500, 0.000], [0.500, 0.500, 0.500]]
}

***

{
  "formula": "FeTcMo",
  "functional": "PBEsol",
  "state": "optimized geometry",
  "volume_a3_per_atom": 13.181,
  "magnetic_moment_mub_per_cell": 0.00,
  "e_form_ev_per_atom": 0.1975,
  "relative_energy_kj_per_mol_fu": 24,
  "cell": [[-1.314, 1.854, 4.059], [1.314, -1.854, 4.059], [1.314, 1.854, -4.059]],
  "species": ["Fe", "Tc", "Mo"],
  "frac_coords": [[0.000, 0.000, 0.000], [0.349, 0.349, 0.000], [0.667, 0.667, 0.000]]
}

***

{
  "formula": "Fe2TcMo",
  "functional": "PBEsol",
  "state": "optimized geometry",
  "volume_a3_per_atom": 12.546,
  "magnetic_moment_mub_per_cell": 1.83,
  "e_form_ev_per_atom": 0.2481,
  "relative_energy_kj_per_mol_fu": 58,
  "cell": [[1.312, 0.757, 8.416], [-1.312, 0.757, 8.416], [0.000, -1.515, 8.416]],
  "species": ["Fe", "Fe", "Tc", "Mo"],
  "frac_coords": [[0.248, 0.248, 0.248], [0.752, 0.752, 0.752], [0.500, 0.500, 0.500], [0.000, 0.000, 0.000]]
}

***

{
  "formula": "FeTcMo2",
  "functional": "PBEsol",
  "state": "optimized geometry",
  "volume_a3_per_atom": 13.701,
  "magnetic_moment_mub_per_cell": 0.00,
  "e_form_ev_per_atom": 0.1236,
  "cell": [[1.682, -2.029, 0.000], [1.682, 2.029, 0.000], [0.000, 0.000, 8.031]],
  "species": ["Fe", "Tc", "Mo", "Mo"],
  "frac_coords": [[0.000, 0.000, 0.000], [0.500, 0.500, 0.210], [0.000, 0.000, 0.484], [0.500, 0.500, 0.766]]
}

***

{
  "formula": "FeTcMo",
  "functional": "PBEsol",
  "state": "optimized geometry",
  "volume_a3_per_atom": 13.414,
  "magnetic_moment_mub_per_cell": 1.33,
  "e_form_ev_per_atom": 0.2438,
  "relative_energy_kj_per_mol_fu": 38,
  "cell": [[2.660, 0.000, 0.000], [-1.330, 2.304, 0.000], [0.000, 0.000, 6.566]],
  "species": ["Fe", "Tc", "Mo"],
  "frac_coords": [[0.000, 0.000, 0.000], [0.667, 0.333, 0.305], [0.333, 0.667, 0.670]]
}